No. 1
{
  "formula": "V3SnOs",
  "functional": "PBE",
  "state": "relaxed",
  "cell": [[4.620, 0.000, 0.000], [0.000, 4.620, 0.000], [0.000, 0.000, 4.620]],
  "species": ["V", "V", "V", "Sn", "Os"],
  "fractional_positions": [[0.000, 0.000, 0.500], [0.000, 0.500, 0.000], [0.500, 0.000, 0.000], [0.500, 0.500, 0.500], [0.000, 0.000, 0.000]],
  "mass_density_g_cm3": 7.8,
  "relative_energy_mev_per_atom": 0,
  "crystal_system": "cubic",
  "e_form_ev_per_atom": 0.843
}

=====

No. 2
{
  "formula": "NiP2",
  "functional": "PBE",
  "state": "relaxed",
  "cell": [[3.428, 0.000, 0.000], [0.000, 3.428, 0.000], [0.000, 0.000, 3.519]],
  "species": ["Ni", "P", "P"],
  "fractional_positions": [[0.000, 0.000, 0.000], [0.000, 0.500, 0.500], [0.500, 0.000, 0.500]],
  "mass_density_g_cm3": 4.8,
  "crystal_system": "tetragonal",
  "e_form_ev_per_atom": 0.071
}